1.
## ErCoTcGe2 (PBE)

Data for a geometry-optimized ErCoTcGe2 structure.

abc: 4.139 4.139 10.006
angles: 90.00 90.00 90.00
Space group I-4m2 (No. 119)
Symmetry-distinct sites (fractional):
1 Er 0.000 0.000 0.000 x2
2 Co 0.000 0.500 0.750 x2
3 Tc 0.000 0.500 0.250 x2
4 Ge 0.000 0.000 0.372 x4

Computed properties:
E   -33.663 eV/f.u.

---

2.
## ErTmCo2Ge2 (PBE)

Data for a geometry-optimized ErTmCo2Ge2 structure.

abc: 4.1787 4.1787 6.9538
angles: 90.00 90.00 120.00
Space group P-3m1 (No. 164)
Symmetry-distinct sites (fractional):
1 Er 0.0000 0.0000 0.0000 x1
2 Tm 0.0000 0.0000 0.5000 x1
3 Co 0.3333 0.6667 0.7368 x2
4 Ge 0.3333 0.6667 0.2557 x2

Computed properties:
E   -36.148 eV/f.u.

---

3.
## YErCo2Ge2 (PBE)

Data for a geometry-optimized YErCo2Ge2 structure.

abc: 4.1809 4.1809 7.1089
angles: 90.00 90.00 120.00
Space group P-3m1 (No. 164)
Symmetry-distinct sites (fractional):
1 Y 0.0000 0.0000 0.0000 x1
2 Er 0.0000 0.0000 0.5000 x1
3 Co 0.3333 0.6667 0.7295 x2
4 Ge 0.3333 0.6667 0.2596 x2

Computed properties:
E   -38.118 eV/f.u.

---

4.
## ErZnCoGe2 (PBE)

Data for a geometry-optimized ErZnCoGe2 structure.

abc: 5.471 5.500 5.638
angles: 90.00 90.00 90.00
Space group Pmma (No. 51)
Symmetry-distinct sites (fractional):
1 Er 0.250 0.000 0.223 x2
2 Zn 0.250 0.500 0.368 x2
3 Co 0.000 0.500 0.000 x2
4 Ge 0.250 0.240 0.746 x4

Computed properties:
E   -24.301 eV/f.u.

---

5.
## Er4Co2H (PBE)

Data for a geometry-optimized Er4Co2H structure.

abc: 13.627 3.715 5.614
angles: 90.00 100.46 90.00
Space group C2/m (No. 12)
Symmetry-distinct sites (fractional):
1 Er 0.081 0.000 0.280 x4
2 Er 0.157 0.500 0.826 x4
3 Co 0.234 0.500 0.375 x4
4 H 0.000 0.500 0.000 x2

Computed properties:
E   -37.766 eV/f.u.

---

6.
## Er2CoH (PBE)

Data for a geometry-optimized Er2CoH structure.

abc: 3.6978 3.6978 17.8727
angles: 90.00 90.00 120.00
Space group R-3m (No. 166, hexagonal axes)
Symmetry-distinct sites (fractional):
1 Er 0.0000 0.0000 0.2459 x6
2 Co 0.0000 0.0000 0.0000 x3
3 H 0.0000 0.0000 0.5000 x3

Computed properties:
Distance to the lowest polymorph of the same formula   0 meV per atom
E   -20.439 eV/f.u.

---

7.
## ErCoH2 (PBE)

Data for a geometry-optimized ErCoH2 structure.

abc: 3.7376 3.7376 11.5116
angles: 90.00 90.00 120.00
Space group R-3m (No. 166, hexagonal axes)
Symmetry-distinct sites (fractional):
1 Er 0.0000 0.0000 0.0000 x3
2 Co 0.0000 0.0000 0.5000 x3
3 H 0.0000 0.0000 0.3653 x6

Computed properties:
E   -19.464 eV/f.u.

---

8.
## ErCo2H8 (PBE)

Data for a geometry-optimized ErCo2H8 structure.

abc: 4.044 4.044 4.657
angles: 90.00 90.00 90.00
Space group P4/mmm (No. 123)
Symmetry-distinct sites (fractional):
1 Er 0.000 0.000 0.000 x1
2 Co 0.000 0.500 0.500 x2
3 H 0.283 0.283 0.313 x8

Computed properties:
Distance to the lowest polymorph of the same formula   42 meV per atom
E   -46.832 eV/f.u.

---

9.
## Er2CoH (PBE)

Data for a geometry-optimized Er2CoH structure.

abc: 3.160 3.160 6.843
angles: 90.00 90.00 90.00
Space group P4/mmm (No. 123)
Symmetry-distinct sites (fractional):
1 Er 0.000 0.000 0.246 x2
2 Co 0.500 0.500 0.000 x1
3 H 0.500 0.500 0.500 x1

Computed properties:
Distance to the lowest polymorph of the same formula   170 meV per atom
E   -19.761 eV/f.u.

---

10.
## ErCoH6 (PBE)

Data for a geometry-optimized ErCoH6 structure.

abc: 4.2338 4.2338 10.8684
angles: 90.00 90.00 120.00
Space group R-3m (No. 166, hexagonal axes)
Symmetry-distinct sites (fractional):
1 Er 0.0000 0.0000 0.0000 x3
2 Co 0.0000 0.0000 0.5000 x3
3 H 0.0131 0.5065 0.9097 x18

Computed properties:
E   -34.531 eV/f.u.

---

11.
## ErCo2H8 (PBE)

Data for a geometry-optimized ErCo2H8 structure.

abc: 4.924 7.717 3.602
angles: 90.00 93.19 90.00
Space group C2/m (No. 12)
Symmetry-distinct sites (fractional):
1 Er 0.000 0.000 0.000 x2
2 Co 0.000 0.324 0.500 x4
3 H 0.000 0.302 0.000 x4
4 H 0.042 0.500 0.745 x4
5 H 0.177 0.142 0.522 x8

Computed properties:
Distance to the lowest polymorph of the same formula   0 meV per atom
E   -47.292 eV/f.u.

---

12.
## ErCo2PH (PBE)

Data for a geometry-optimized ErCo2PH structure.

abc: 3.567 9.963 6.598
angles: 90.00 90.00 90.00
Space group Cmcm (No. 63)
Symmetry-distinct sites (fractional):
1 Er 0.000 0.055 0.250 x4
2 Co 0.000 0.334 0.059 x8
3 P 0.000 0.226 0.750 x4
4 H 0.000 0.500 0.000 x4

Computed properties:
E   -31.411 eV/f.u.

---

> Look up the E of the third one.

-38.118 eV/f.u.

---

> The lowest E belongs to which entry?

number 11